PBE MgBePdPt2, optimized geometry; total moment = 0.00 μB per formula unit; total DFT energy (no corrections) = -24.99 eV/cell; space group = No. 123
1.0
-2.533 -3.384 -0.388
2.998 -1.985 -2.255
1.614 -1.618 3.570
Be Mg Pd Pt
1 1 1 2
Cartesian
0.000 0.000 0.000
1.040 -3.494 0.464
0.807 -0.809 1.785
1.499 -0.993 -1.128
-1.266 -1.692 -0.194